A crystal of Be2AlMo relaxed with PBEsol. Source: Alexandria, functional SCAN.

a b c (Å): 8.5678 2.6984 4.4712
angles (deg): 90.00 104.53 90.00
With the nearest neighbours (Å) after each atom.
Space group C2/m (No. 12)
Inequivalent atoms, fractional coordinates:
Be 0.2488 0.0000 0.2137 (multiplicity 4)  2 Be 2.34, 3 Mo 2.50-2.56, 2 Al 2.59
Al 0.0000 0.0000 0.5000 (multiplicity 2)  6 Be 2.59-2.75, 4 Mo 2.61, 2 Al 2.70
Mo 0.0000 0.5000 0.0000 (multiplicity 2)  6 Be 2.50-2.56, 4 Al 2.61, 2 Mo 2.70

Output
energy relative to the elements	40	kJ/mol of formula units